Material: MnFeBP2
Method: DFT, PBE
State: relaxed

Cell lengths 4.0634, 3.0951, 4.8315 Å; angles 90.00, 92.63, 90.00 degrees
Last column: nearest neighbours and their distance in Å.
Positions (direct):
Mn1 0.0000 0.0000 0.0000  4 P 2.37-2.47, 2 Fe 2.54-2.57, 2 B 2.61
Fe1 0.4773 0.0000 0.6787  4 P 2.21-2.24, 2 B 2.44
B1 0.7187 0.5000 0.3550  3 P 1.94
P1 0.4668 0.5000 0.0045  1 B 1.94
P2 0.9687 0.0000 0.4879  2 B 1.94

Output
E above lowest polymorph in meV/atom: 86.3
Energy in eV for the cell shown: -36.02
Total moment in μB/cell: 4.135
Theoretical density in Mg/m³: 5.02
Formation enthalpy at 0 K in eV/f.u.: -0.889
Calculated volume in Å³ per cell: 60.7
SG: Pm
Crystal system: monoclinic